Below is a crystal of Sr3CaNi2W2O12 relaxed with PBEsol, with properties calculated at the SCAN level.

a b c (Å): 5.514 5.517 7.788
angles (deg): 90.06 90.02 90.12
Each line ends with the local moment (μB).
Element x y z (fractional)
O  0.946  0.017  0.742  0.04
O  0.552  0.494  0.758  0.04
O  0.717  0.770  0.026  0.04
W  0.002  0.000  0.497  0.06
Ni  0.500  0.499  0.499  1.68
Sr  0.504  0.021  0.251  0.00
O  0.216  0.728  0.530  0.05
O  0.288  0.225  0.976  0.04
Sr  0.002  0.480  0.750  0.00
W  0.498  0.499  0.003  0.05
Ni  0.000  0.001  0.001  1.68
O  0.052  0.971  0.255  0.04
Ca  0.996  0.535  0.248  0.00
O  0.427  0.502  0.245  0.04
O  0.231  0.717  0.970  0.04
Sr  0.494  0.976  0.749  0.00
O  0.730  0.782  0.477  0.04
O  0.776  0.292  0.042  0.04
O  0.796  0.278  0.458  0.04
O  0.275  0.213  0.522  0.04

Properties
The crystal system is triclinic. Its uncorrected formation energy is -2636 meV/atom. The energy comes out at -375.70 eV/cell. For the density, the calculation gives 6.87 Mg/m³.

***

Below is a crystal of Ca3V3Ni2O12 relaxed with PBEsol, with properties calculated at the SCAN level.

a b c (Å): 10.622 10.622 10.622
angles (deg): 109.47 109.47 109.47
Each line ends with the local moment (μB).
Element x y z (fractional)
O  0.910  0.600  0.617  0.04
Ni  0.000  0.500  0.500  1.57
O  0.117  0.910  0.100  0.04
O  0.293  0.910  0.810  0.04
Ni  0.500  0.500  0.500  1.57
Ca  0.750  0.875  0.125  0.00
O  0.383  0.483  0.793  0.04
O  0.983  0.883  0.293  0.04
Ca  0.875  0.250  0.125  0.00
Ni  0.500  0.000  0.500  1.57
O  0.100  0.410  0.117  0.04
O  0.793  0.810  0.910  0.04
O  0.400  0.517  0.310  0.04
O  0.517  0.810  0.900  0.04
Ca  0.125  0.750  0.875  0.00
O  0.600  0.483  0.690  0.04
O  0.690  0.983  0.600  0.04
V  0.625  0.375  0.250  -0.20
O  0.483  0.190  0.100  0.04
O  0.910  0.310  0.793  0.04
V  0.125  0.250  0.375  -0.20
V  0.750  0.625  0.875  -0.20
O  0.100  0.690  0.483  0.04
O  0.410  0.617  0.600  0.04
V  0.375  0.750  0.125  -0.20
O  0.707  0.617  0.017  0.04
O  0.090  0.690  0.207  0.04
Ni  0.000  0.000  0.000  1.57
O  0.400  0.883  0.590  0.04
O  0.793  0.983  0.383  0.04
Ca  0.125  0.375  0.750  0.00
O  0.293  0.383  0.983  0.04
Ca  0.750  0.375  0.625  0.00
O  0.590  0.207  0.690  0.04
O  0.810  0.410  0.293  0.04
O  0.707  0.090  0.190  0.04
Ni  0.000  0.000  0.500  1.57
V  0.875  0.125  0.750  -0.20
Ca  0.250  0.625  0.375  0.00
O  0.617  0.517  0.207  0.04
O  0.900  0.310  0.517  0.04
O  0.883  0.090  0.900  0.04
O  0.207  0.017  0.617  0.04
Ni  0.000  0.500  0.000  1.57
O  0.517  0.707  0.117  0.04
O  0.483  0.293  0.883  0.04
Ca  0.875  0.625  0.250  0.00
V  0.250  0.375  0.125  -0.20
V  0.375  0.625  0.750  -0.20
V  0.125  0.875  0.250  -0.20
O  0.090  0.400  0.383  0.04
O  0.383  0.900  0.090  0.04
V  0.750  0.125  0.375  -0.20
O  0.310  0.017  0.400  0.04
Ca  0.625  0.750  0.375  0.00
O  0.617  0.100  0.910  0.04
O  0.810  0.400  0.017  0.04
O  0.590  0.383  0.400  0.04
O  0.017  0.117  0.707  0.04
Ni  0.500  0.500  0.000  1.57
Ca  0.625  0.875  0.750  0.00
V  0.250  0.875  0.625  -0.20
O  0.207  0.190  0.090  0.04
Ca  0.250  0.125  0.875  0.00
O  0.017  0.900  0.810  0.04
O  0.310  0.293  0.410  0.04
Ca  0.375  0.125  0.250  0.00
V  0.875  0.750  0.625  -0.20
V  0.625  0.250  0.875  -0.20
O  0.410  0.793  0.310  0.04
O  0.190  0.600  0.983  0.04
O  0.190  0.590  0.707  0.04
O  0.983  0.100  0.190  0.04
O  0.600  0.117  0.410  0.04
O  0.690  0.707  0.590  0.04
Ca  0.375  0.250  0.625  0.00
Ni  0.500  0.000  0.000  1.57
O  0.117  0.207  0.517  0.04
O  0.883  0.793  0.483  0.04
O  0.900  0.590  0.883  0.04

Properties
The crystal system is cubic. Its uncorrected formation energy is -2717 meV/atom. The energy comes out at -971.69 eV/cell. For the density, the calculation gives 4.19 Mg/m³.

***

Below is a crystal of CaNi2Os relaxed with PBEsol, with properties calculated at the SCAN level.

a b c (Å): 2.670 4.330 5.680
angles (deg): 96.60 90.00 107.96
Element x y z (fractional)
Ni  0.259  0.519  0.327
Ca  0.500  0.000  0.000
Os  0.000  0.000  0.500
Ni  0.741  0.481  0.673

Properties
The crystal system is monoclinic. The energy comes out at -112.57 eV/cell. For the density, the calculation gives 9.31 Mg/m³.

***

Below is a crystal of CaNiOs2 relaxed with PBEsol, with properties calculated at the SCAN level.

a b c (Å): 2.830 4.666 5.424
angles (deg): 115.48 105.12 90.00
Element x y z (fractional)
Os  0.997  0.997  0.995
Ni  0.274  0.774  0.548
Os  0.723  0.223  0.446
Ca  0.506  0.506  0.011

Properties
The crystal system is orthorhombic. The energy comes out at -167.07 eV/cell. For the density, the calculation gives 12.86 Mg/m³.

***

Below is a crystal of CaNiOs2 relaxed with PBEsol, with properties calculated at the SCAN level.

a b c (Å): 2.768 3.672 6.383
angles (deg): 90.00 90.00 90.00
Element x y z (fractional)
Os  0.000  0.000  0.007
Os  0.500  0.500  0.183
Ca  0.000  0.000  0.515
Ni  0.500  0.500  0.795

Properties
The crystal system is orthorhombic. The energy comes out at -168.26 eV/cell. For the density, the calculation gives 12.27 Mg/m³.

***

Below is a crystal of CaNi2Os relaxed with PBEsol, with properties calculated at the SCAN level.

a b c (Å): 3.734 3.734 4.907
angles (deg): 112.36 112.36 90.00
Each line ends with the local moment (μB).
Element x y z (fractional)
Os  0.500  0.500  0.000  1.13
Ni  0.000  0.000  0.000  0.69
Ni  0.750  0.250  0.500  0.84
Ca  0.250  0.750  0.500  -0.03

Properties
The crystal system is tetragonal. The energy comes out at -111.59 eV/cell. For the density, the calculation gives 10.01 Mg/m³.

***

Which of these has the highest energy? number 6

***

The highest energy belongs to which entry? number 6

***

Which formula does entry 4 have? CaNiOs2